Entry from the Alexandria database: Tm4AlHg3 after structural relaxation (GGA-PBE).

Calculated values
Electronic total energy = -3.264 eV per atom
Energy of formation from the pure elements = -0.448 eV/atom

Cell lengths 3.6329, 3.6329, 14.6951 Å; angles 90.00, 90.00, 90.00 degrees
Sites, in units of the cell vectors:
1 Tm 0.0000 0.0000 0.6273
2 Tm 0.0000 0.0000 0.8804
3 Hg 0.5000 0.5000 0.2449
4 Hg 0.5000 0.5000 0.7551
5 Tm 0.0000 0.0000 0.3727
6 Hg 0.5000 0.5000 0.5000
7 Al 0.5000 0.5000 0.0000
8 Tm 0.0000 0.0000 0.1196


Entry from the Alexandria database: MnV5Re4 after structural relaxation (GGA-PBE).

Calculated values
Electronic total energy = -10.775 eV per atom
Energy of formation from the pure elements = -0.319 eV/atom

Cell lengths 3.0147, 3.0147, 15.0437 Å; angles 90.00, 90.00, 90.00 degrees
Sites, in units of the cell vectors:
1 Re 0.0000 0.0000 0.6017
2 V 0.5000 0.5000 0.9059
3 V 0.5000 0.5000 0.0941
4 V 0.5000 0.5000 0.2967
5 V 0.5000 0.5000 0.7033
6 Re 0.0000 0.0000 0.8051
7 V 0.5000 0.5000 0.5000
8 Re 0.0000 0.0000 0.1949
9 Re 0.0000 0.0000 0.3983
10 Mn 0.0000 0.0000 0.0000


| no. | magnetization (μB/cell) |
| --- | --- |
| 1 | 0.00 |
| 2 | 0.00 |